Entry 1:
! PBE NaPuPO5, relaxed; values from VASP
&SYSTEM
  ibrav = 0, nat = 16, ntyp = 4
/
ATOMIC_SPECIES
O 16.00 O.upf
Na 22.99 Na.upf
P 30.97 P.upf
Pu 244.00 Pu.upf
CELL_PARAMETERS angstrom
5.8266 0.2321 -0.0357
-1.4788 5.6406 -0.0357
-1.8511 -2.5004 7.1051
ATOMIC_POSITIONS crystal
O 0.3159 0.8528 0.6346
O 0.9153 0.0847 0.7500
O 0.7333 0.5999 0.3862
O 0.6841 0.1472 0.3654
O 0.5999 0.7333 0.8862
O 0.4001 0.2667 0.1138
O 0.1472 0.6841 0.8654
O 0.8528 0.3159 0.1346
O 0.0847 0.9153 0.2500
O 0.2667 0.4001 0.6138
Na 0.3364 0.6636 0.2500
Na 0.6636 0.3364 0.7500
P 0.6700 0.3300 0.2500
P 0.3300 0.6700 0.7500
Pu 0.0000 0.0000 0.5000
Pu 0.0000 0.0000 0.0000
! **Crystal system**: monoclinic
! **Formation energy (no corrections)**: -247.1 kJ per mole of atoms



Entry 2:
! PBE Ca3Pr2TaAs6, relaxed; values from VASP
&SYSTEM
  ibrav = 0, nat = 12, ntyp = 4
/
ATOMIC_SPECIES
As 74.92 As.upf
Ca 40.08 Ca.upf
Pr 140.91 Pr.upf
Ta 180.95 Ta.upf
CELL_PARAMETERS angstrom
-4.9506 -5.0129 1.4585
6.9905 -1.7007 0.0682
-0.3672 3.9063 6.1521
ATOMIC_POSITIONS crystal
As 0.0775 0.3817 0.2341
As 0.3817 0.0775 0.2341
As 0.2205 0.2205 0.7639
As 0.7795 0.7795 0.2361
As 0.6183 0.9225 0.7659
As 0.9225 0.6183 0.7659
Ca 0.5000 0.5000 0.5000
Ca 0.8257 0.1743 0.5000
Ca 0.1743 0.8257 0.5000
Pr 0.6654 0.3346 0.0000
Pr 0.3346 0.6654 0.0000
Ta 0.0000 0.0000 0.0000
! **DFT formation energy**: -1.05 eV/atom
! **Crystal system**: monoclinic